Entry 1:
Entry from Alexandria via LeMat-Bulk: crystalline Ce2Si2Sn at its relaxed geometry (PBEsol).

DFT total energy = -6.438 eV/atom
SG = P4/mbm
formation energy without anion corrections = -3.25 eV/f.u.
ρ = 6.86 Mg/m³

a b c (Å): 4.343 7.121 7.121
angles (deg): 90.00 90.00 90.00
Fractional coordinates of all 10 atoms:
1 Si 0.000 0.117 0.383
2 Si 0.000 0.617 0.117
3 Si 0.000 0.383 0.883
4 Si 0.000 0.883 0.617
5 Ce 0.500 0.321 0.179
6 Ce 0.500 0.179 0.679
7 Ce 0.500 0.679 0.821
8 Ce 0.500 0.821 0.321
9 Sn 0.000 0.500 0.500
10 Sn 0.000 0.000 0.000


Entry 2:
Entry from Alexandria via LeMat-Bulk: crystalline SrBe2Tc at its relaxed geometry (PBEsol).

DFT total energy = -4.535 eV/atom
SG = I4_1/amd
formation enthalpy at 0 K = 286 kJ/mol of formula units
ρ = 4.38 Mg/m³
offset from the most stable computed form = 0.137 eV/atom

a b c (Å): 4.431 4.431 8.466
angles (deg): 105.17 105.17 90.00
Fractional coordinates of all 8 atoms:
1 Tc 0.000 0.000 0.000
2 Tc 0.250 0.750 0.500
3 Be 0.125 0.875 0.750
4 Be 0.625 0.875 0.750
5 Be 0.125 0.375 0.250
6 Be 0.125 0.875 0.250
7 Sr 0.750 0.250 0.500
8 Sr 0.500 0.500 0.000


Entry 3:
Entry from Alexandria via LeMat-Bulk: crystalline Zr3AsH at its relaxed geometry (PBEsol).

DFT total energy = -7.683 eV/atom
SG = Pm-3m
ρ = 7.34 Mg/m³

a b c (Å): 4.292 4.292 4.292
angles (deg): 90.00 90.00 90.00
Fractional coordinates of all 5 atoms:
1 Zr 0.500 0.000 0.000
2 Zr 0.000 0.000 0.500
3 Zr 0.000 0.500 0.000
4 H 0.000 0.000 0.000
5 As 0.500 0.500 0.500


Entry 4:
Entry from Alexandria via LeMat-Bulk: crystalline LaNbPb3 at its relaxed geometry (PBEsol).

DFT total energy = -5.429 eV/atom
SG = Pm-3m
formation enthalpy at 0 K = 98 kJ/mol of formula units
ρ = 9.04 Mg/m³

a b c (Å): 5.393 5.393 5.393
angles (deg): 90.00 90.00 90.00
Fractional coordinates of all 5 atoms:
1 Pb 0.000 0.500 0.000
2 Pb 0.500 0.000 0.000
3 Pb 0.000 0.000 0.500
4 Nb 0.000 0.000 0.000
5 La 0.500 0.500 0.500


Entry 5:
Entry from Alexandria via LeMat-Bulk: crystalline Li2CoSe at its relaxed geometry (PBEsol).

DFT total energy = -4.195 eV/atom
SG = P4/mmm
formation energy without anion corrections = -1.26 eV/f.u.
ρ = 5.09 Mg/m³

a b c (Å): 3.585 3.585 3.849
angles (deg): 90.00 90.00 90.00
Fractional coordinates of all 4 atoms:
1 Li 0.000 0.500 0.000
2 Li 0.500 0.000 0.000
3 Co 0.000 0.000 0.500
4 Se 0.500 0.500 0.500


Entry 6:
Entry from Alexandria via LeMat-Bulk: crystalline Li2PrIn at its relaxed geometry (PBEsol).

DFT total energy = -3.364 eV/atom
SG = Fm-3m
formation enthalpy at 0 K = -131 kJ/mol of formula units
ρ = 5.35 Mg/m³

a b c (Å): 4.911 4.911 4.911
angles (deg): 60.00 60.00 60.00
Fractional coordinates of all 4 atoms:
1 In 0.000 0.000 0.000
2 Li 0.750 0.750 0.750
3 Li 0.250 0.250 0.250
4 Pr 0.500 0.500 0.500